[1]
CaTlGa | the Alexandria database | PBE | relaxed; calculated total energy = -2.716 eV per atom; size of the total moment = 0.0 μB/cell
1.0
-2.977 0.585 3.168
1.939 -3.692 2.507
5.909 3.251 4.948
Ga Tl Ca
2 2 2
direct
0.616 0.460 0.497
0.116 0.439 0.354
0.616 0.857 0.711
0.117 0.724 0.019
0.116 0.336 0.757
0.616 0.078 0.223

[2]
HfP2HO | the Alexandria database | PBE | relaxed; calculated total energy = -6.166 eV per atom; size of the total moment = 0.0 μB/cell
1.0
-2.404 -1.928 -1.354
3.492 -3.337 -1.448
-0.343 -1.628 2.926
H P Hf O
1 2 1 1
direct
0.000 0.000 0.000
0.000 0.000 0.500
0.500 0.000 0.000
0.000 0.500 0.000
0.500 0.500 0.500

[3]
Y6Er3Pu | the Alexandria database | PBE | relaxed; calculated total energy = -6.432 eV per atom; size of the total moment = 7.3 μB/cell
1.0
-6.149 0.847 -2.506
-5.482 -2.213 6.584
-3.480 5.567 1.303
Y Er Pu
6 3 1
direct
0.596 0.306 0.088
0.639 0.085 0.639
0.088 0.306 0.596
0.361 0.915 0.361
0.404 0.694 0.912
0.912 0.694 0.404
0.000 0.000 0.000
0.097 0.324 0.097
0.903 0.676 0.903
0.500 0.500 0.500

[4]
Ac7Nd4Dy | the Alexandria database | PBE | relaxed; calculated total energy = -4.327 eV per atom; size of the total moment = 0.0 μB/cell
1.0
7.165 -1.715 2.219
0.582 6.086 2.701
2.243 -1.578 11.172
Ac Dy Nd
7 1 4
direct
0.001 0.330 0.667
0.750 0.504 0.002
0.999 0.670 0.333
0.500 0.000 0.000
0.253 0.836 0.664
0.250 0.496 0.998
0.747 0.164 0.336
0.000 0.000 0.000
0.249 0.167 0.335
0.499 0.335 0.668
0.751 0.833 0.665
0.501 0.665 0.332

[5]
Ca5Si | the Alexandria database | PBE | relaxed; energy relative to the elements, uncorrected = 41 meV/atom; calculated total energy = -2.530 eV per atom; size of the total moment = 1.3 μB/cell
1.0
3.338 -5.782 0.000
3.338 5.782 0.000
0.000 0.000 5.252
Si Ca
1 5
direct
0.000 0.000 0.500
0.333 0.667 0.500
0.667 0.333 0.500
0.289 0.289 0.000
0.711 0.000 0.000
0.000 0.711 0.000

[6]
Ba2YZr | the Alexandria database | PBE | relaxed; calculated total energy = -4.056 eV per atom; size of the total moment = 0.0 μB/cell
1.0
1.306 -5.583 -1.751
0.979 -4.273 4.090
-4.006 -4.395 0.761
Y Zr Ba
1 1 2
direct
0.000 0.000 0.000
0.500 0.500 0.500
0.250 0.250 0.250
0.750 0.750 0.750

[7]
TiNiAuCl2 | the Alexandria database | PBE | relaxed; energy relative to the elements, uncorrected = 69 meV/atom; calculated total energy = -4.061 eV per atom; size of the total moment = 0.0 μB/cell
1.0
-0.716 -4.513 -0.213
1.626 -0.487 4.840
-4.278 0.608 1.499
Ni Cl Au Ti
1 2 1 1
direct
0.000 0.500 0.000
0.000 0.000 0.500
0.500 0.000 0.000
0.500 0.500 0.500
0.000 0.000 0.000

[8]
Y2CuOs | the Alexandria database | PBE | relaxed; calculated total energy = -7.299 eV per atom; size of the total moment = 0.0 μB/cell
1.0
-4.816 0.718 0.103
-2.440 -0.447 4.191
-1.827 3.949 2.187
Y Os Cu
2 1 1
direct
0.000 0.000 0.000
0.500 0.500 0.500
0.750 0.750 0.750
0.250 0.250 0.250